The following is a PBE calculation of an optimized crystal structure of LiThCo, from the Open Quantum Materials Database.

Cell: 4.265 4.265 4.265 Å, 60.00 60.00 60.00°
Sites, in units of the cell vectors:
Th 0.250 0.250 0.250
Co 0.750 0.750 0.750
Li 0.000 0.000 0.000

The calculated total energy comes out at -5.073 eV/atom.


The following is a PBE calculation of an optimized crystal structure of LiTlCo, from the Open Quantum Materials Database.

Cell: 4.274 4.274 4.274 Å, 60.00 60.00 60.00°
Sites, in units of the cell vectors:
Li 0.250 0.250 0.250
Tl 0.750 0.750 0.750
Co 0.000 0.000 0.000

The calculation puts the excess energy over the best structure of this formula in the dataset at 0.000 eV/atom.